(1)
Below is a relaxed structure of Li2UO4, with properties calculated at the GGA-PBE level.

Cell lengths 10.856, 3.506, 5.057 Å; angles 90.00, 106.97, 90.00 degrees
Space group C2/m (No. 12)
Symmetry-distinct sites (fractional):
Li1 0.163 0.000 0.058 x4
U1 0.000 0.500 0.500 x2
O1 0.077 0.000 0.349 x4
O2 0.143 0.500 0.844 x4

Properties
Its relative energy among the computed polymorphs is 0.007 eV per atom.

=====

(2)
Below is a relaxed structure of U4P5N, with properties calculated at the GGA-PBE level.

Cell lengths 3.827, 6.330, 16.263 Å; angles 90.00, 90.00, 90.00 degrees
Space group Immm (No. 71)
Symmetry-distinct sites (fractional):
U1 0.000 0.000 0.184 x4
U2 0.000 0.292 0.500 x4
P1 0.000 0.183 0.337 x8
P2 0.000 0.500 0.000 x2
N1 0.000 0.000 0.000 x2

=====

(3)
Below is a relaxed structure of LiPaCoSi2, with properties calculated at the GGA-PBE level.

Cell lengths 3.995, 3.995, 9.587 Å; angles 90.00, 90.00, 90.00 degrees
Space group I-4m2 (No. 119)
Symmetry-distinct sites (fractional):
Li1 0.000 0.000 0.000 x2
Pa1 0.000 0.500 0.250 x2
Co1 0.000 0.000 0.500 x2
Si1 0.000 0.500 0.626 x4

=====

no.,formation energy without anion corrections (eV/atom),electronic total energy (eV/atom)
1,-2.733,-7.73
2,-0.611,-8.66
3,-0.528,-6.40